Record 1
Below is crystalline Fe2NiN at its relaxed geometry, with properties calculated at the GGA-PBE level.

The structure in POSCAR format:
```
Fe2NiN
1.0
2.6757 0.0000 0.0000
-1.3378 2.3172 0.0000
0.0000 0.0000 19.1647
Fe Ni N
6 3 3
Direct
0.0000 0.0000 0.2277
0.0000 0.0000 0.7723
0.3333 0.6667 0.4389
0.3333 0.6667 0.8944
0.6667 0.3333 0.1056
0.6667 0.3333 0.5611
0.0000 0.0000 0.0000
0.3333 0.6667 0.6667
0.6667 0.3333 0.3333
0.0000 0.0000 0.5000
0.3333 0.6667 0.1667
0.6667 0.3333 0.8333
```

## Properties
Its symmetry is No. 166. For the formation energy from raw total energies, the calculation gives 111 meV per atom. As for the total energy: -7.647 eV/atom.


Record 2
Below is crystalline Nd3SmSn2 at its relaxed geometry, with properties calculated at the GGA-PBE level.

The structure in POSCAR format:
```
Nd3SmSn2
1.0
4.6486 0.0000 0.0000
0.0000 4.6486 0.0000
0.0000 0.0000 8.8172
Nd Sm Sn
3 1 2
Direct
0.0000 0.0000 0.0000
0.0000 0.5000 0.6493
0.5000 0.0000 0.3507
0.5000 0.5000 0.0000
0.0000 0.5000 0.2789
0.5000 0.0000 0.7211
```

## Properties
The energy above the most stable polymorph in this dataset comes out at 0.0 kJ/mol of formula units. Its symmetry is No. 115. As for the total energy: -5.082 eV/atom. The value obtained for the formation energy is -0.58 eV per atom.